(1)
Below is a relaxed TlCuSiPd crystal, with properties calculated at the PBE-GGA level.

Unit cell a=4.580 b=4.580 c=4.580 alpha=60.00 beta=60.00 gamma=60.00
Atoms (fractional coordinates):
1 Tl 0.000 0.000 0.000
2 Cu 0.750 0.750 0.750
3 Si 0.500 0.500 0.500
4 Pd 0.250 0.250 0.250

Calculated total energy, eV/cell: -15.854
E above lowest polymorph, meV per atom: 0
Calculated volume, Å³/cell: 67.9
Space-group type: F-43m
Crystal system: cubic

***

(2)
Below is a relaxed YTmAlCo2 crystal, with properties calculated at the PBE-GGA level.

Unit cell a=3.854 b=6.798 c=6.798 alpha=32.02 beta=90.00 gamma=90.00
Atoms (fractional coordinates):
1 Y 0.000 0.000 0.000
2 Tm 0.000 0.731 0.731
3 Al 0.500 0.365 0.365
4 Co 0.500 0.168 0.168
5 Co 0.500 0.569 0.569

Calculated total energy, eV/cell: -30.494
E above lowest polymorph, meV per atom: 88
Calculated volume, Å³/cell: 94.4
Space-group type: Amm2
Crystal system: orthorhombic

***

(3)
Below is a relaxed Tm4InSnN2 crystal, with properties calculated at the PBE-GGA level.

Unit cell a=3.465 b=3.465 c=15.325 alpha=90.00 beta=90.00 gamma=120.00
Atoms (fractional coordinates):
1 Tm 0.000 0.000 0.163
2 Tm 0.000 0.000 0.837
3 Tm 0.333 0.667 0.332
4 Tm 0.333 0.667 0.668
5 In 0.000 0.000 0.500
6 Sn 0.333 0.667 0.000
7 N 0.667 0.333 0.247
8 N 0.667 0.333 0.753

Calculated total energy, eV/cell: -50.429
Calculated volume, Å³/cell: 159.3
Space-group type: P-6m2
Crystal system: hexagonal

***

(4)
Below is a relaxed NaHfTe3Pd crystal, with properties calculated at the PBE-GGA level.

Unit cell a=7.803 b=7.803 c=10.600 alpha=90.00 beta=90.00 gamma=150.81
Atoms (fractional coordinates):
1 Na 0.231 0.769 0.750
2 Na 0.769 0.231 0.250
3 Hf 0.000 0.000 0.000
4 Hf 0.000 0.000 0.500
5 Te 0.090 0.910 0.250
6 Te 0.362 0.638 0.048
7 Te 0.362 0.638 0.452
8 Te 0.638 0.362 0.548
9 Te 0.638 0.362 0.952
10 Te 0.910 0.090 0.750
11 Pd 0.470 0.530 0.250
12 Pd 0.530 0.470 0.750

Calculated total energy, eV/cell: -60.452
E above lowest polymorph, meV per atom: 30
Calculated volume, Å³/cell: 314.9
Space-group type: Cmcm
Crystal system: orthorhombic

***

(5)
Below is a relaxed Fe2CuSn crystal, with properties calculated at the PBE-GGA level.

Unit cell a=4.284 b=4.284 c=4.284 alpha=60.00 beta=60.00 gamma=60.00
Atoms (fractional coordinates):
1 Fe 0.000 0.000 0.000
2 Fe 0.250 0.250 0.250
3 Cu 0.500 0.500 0.500
4 Sn 0.750 0.750 0.750

Calculated total energy, eV/cell: -23.783
Calculated volume, Å³/cell: 55.6
Space-group type: F-43m
Crystal system: cubic

***

(6)
Below is a relaxed NbGeSb crystal, with properties calculated at the PBE-GGA level.

Unit cell a=4.581 b=4.581 c=4.581 alpha=60.00 beta=60.00 gamma=60.00
Atoms (fractional coordinates):
1 Nb 0.000 0.000 0.000
2 Ge 0.250 0.250 0.250
3 Sb 0.500 0.500 0.500

Calculated total energy, eV/cell: -17.130
Calculated volume, Å³/cell: 68.0
Space-group type: F-43m
Crystal system: cubic

***

(7)
Below is a relaxed Cu5Ag4 crystal, with properties calculated at the PBE-GGA level.

Unit cell a=7.131 b=7.131 c=7.959 alpha=122.05 beta=122.05 gamma=22.51
Atoms (fractional coordinates):
1 Cu 0.000 0.000 0.000
2 Cu 0.197 0.197 0.299
3 Cu 0.540 0.540 0.297
4 Cu 0.649 0.649 0.985
5 Cu 0.744 0.744 0.601
6 Ag 0.092 0.092 0.637
7 Ag 0.320 0.320 0.949
8 Ag 0.421 0.421 0.662
9 Ag 0.866 0.866 0.299

Calculated total energy, eV/cell: -29.132
E above lowest polymorph, meV per atom: 43
Calculated volume, Å³/cell: 130.3
Space-group type: Cm
ΔE_f, eV/atom: 0.083
Crystal system: monoclinic

***

(8)
Below is a relaxed BiB4Ir crystal, with properties calculated at the PBE-GGA level.

Unit cell a=5.298 b=5.298 c=5.298 alpha=148.78 beta=116.76 gamma=72.22
Atoms (fractional coordinates):
1 Bi 0.000 0.000 0.000
2 B 0.121 0.775 0.346
3 B 0.428 0.775 0.654
4 B 0.572 0.225 0.346
5 B 0.879 0.225 0.654
6 Ir 0.500 0.500 0.000

Calculated total energy, eV/cell: -35.196
E above lowest polymorph, meV per atom: 156
Calculated volume, Å³/cell: 67.8
Space-group type: Immm
Crystal system: orthorhombic

***

(9)
Below is a relaxed NbAlCd crystal, with properties calculated at the PBE-GGA level.

Unit cell a=4.546 b=4.546 c=4.546 alpha=60.00 beta=60.00 gamma=60.00
Atoms (fractional coordinates):
1 Nb 0.000 0.000 0.000
2 Al 0.250 0.250 0.250
3 Cd 0.750 0.750 0.750

Calculated total energy, eV/cell: -12.694
E above lowest polymorph, meV per atom: 206
Calculated volume, Å³/cell: 66.4
Space-group type: F-43m
Crystal system: cubic

***

(10)
Below is a relaxed Ho6SiNi2 crystal, with properties calculated at the PBE-GGA level.

Unit cell a=7.524 b=7.524 c=4.283 alpha=90.00 beta=90.00 gamma=120.00
Atoms (fractional coordinates):
1 Ho 0.000 0.271 0.000
2 Ho 0.000 0.601 0.500
3 Ho 0.271 0.000 0.000
4 Ho 0.399 0.399 0.500
5 Ho 0.601 0.000 0.500
6 Ho 0.729 0.729 0.000
7 Si 0.000 0.000 0.500
8 Ni 0.333 0.667 0.000
9 Ni 0.667 0.333 0.000

Calculated total energy, eV/cell: -46.767
Calculated volume, Å³/cell: 210.0
Space-group type: P-62m
Crystal system: hexagonal

***

(11)
Below is a relaxed HfSiMo crystal, with properties calculated at the PBE-GGA level.

Unit cell a=4.439 b=4.439 c=4.439 alpha=60.00 beta=60.00 gamma=60.00
Atoms (fractional coordinates):
1 Hf 0.000 0.000 0.000
2 Si 0.250 0.250 0.250
3 Mo 0.750 0.750 0.750

Calculated total energy, eV/cell: -23.692
E above lowest polymorph, meV per atom: 1553
Calculated volume, Å³/cell: 61.9
Space-group type: F-43m
Crystal system: cubic

***

(12)
Below is a relaxed Ba2DyPd2 crystal, with properties calculated at the PBE-GGA level.

Unit cell a=4.635 b=4.635 c=20.196 alpha=90.00 beta=90.00 gamma=120.00
Atoms (fractional coordinates):
1 Ba 0.333 0.667 0.142
2 Ba 0.333 0.667 0.358
3 Ba 0.667 0.333 0.642
4 Ba 0.667 0.333 0.858
5 Dy 0.000 0.000 0.000
6 Dy 0.000 0.000 0.500
7 Pd 0.333 0.667 0.548
8 Pd 0.333 0.667 0.952
9 Pd 0.667 0.333 0.048
10 Pd 0.667 0.333 0.452

Calculated total energy, eV/cell: -43.025
Calculated volume, Å³/cell: 375.7
Space-group type: P6_3/mmc
Crystal system: hexagonal

***

(13)
Below is a relaxed HfCuGeIr crystal, with properties calculated at the PBE-GGA level.

Unit cell a=4.487 b=4.487 c=4.487 alpha=60.00 beta=60.00 gamma=60.00
Atoms (fractional coordinates):
1 Hf 0.000 0.000 0.000
2 Cu 0.500 0.500 0.500
3 Ge 0.250 0.250 0.250
4 Ir 0.750 0.750 0.750

Calculated total energy, eV/cell: -28.230
E above lowest polymorph, meV per atom: 158
Calculated volume, Å³/cell: 63.9
Space-group type: F-43m
Crystal system: cubic

***

(14)
Below is a relaxed LiSmSc crystal, with properties calculated at the PBE-GGA level.

Unit cell a=4.906 b=4.906 c=4.906 alpha=60.00 beta=60.00 gamma=60.00
Atoms (fractional coordinates):
1 Li 0.000 0.000 0.000
2 Sm 0.250 0.250 0.250
3 Sc 0.750 0.750 0.750

Calculated total energy, eV/cell: -11.333
E above lowest polymorph, meV per atom: 0
Calculated volume, Å³/cell: 83.5
Space-group type: F-43m
Crystal system: cubic

***

(15)
Below is a relaxed Pd3N crystal, with properties calculated at the PBE-GGA level.

Unit cell a=5.616 b=5.616 c=5.616 alpha=54.54 beta=54.54 gamma=54.54
Atoms (fractional coordinates):
1 Pd 0.085 0.750 0.415
2 Pd 0.250 0.585 0.915
3 Pd 0.415 0.085 0.750
4 Pd 0.585 0.915 0.250
5 Pd 0.750 0.415 0.085
6 Pd 0.915 0.250 0.585
7 N 0.000 0.000 0.000
8 N 0.500 0.500 0.500

Calculated total energy, eV/cell: -45.106
Calculated volume, Å³/cell: 109.3
Space-group type: R-3c
Crystal system: trigonal

***

(16)
Below is a relaxed HoErAg2Te4 crystal, with properties calculated at the PBE-GGA level.

Unit cell a=7.073 b=7.073 c=4.695 alpha=90.00 beta=90.00 gamma=90.11
Atoms (fractional coordinates):
1 Ho 0.000 0.000 0.000
2 Er 0.500 0.500 0.385
3 Ag 0.000 0.500 0.192
4 Ag 0.500 0.000 0.192
5 Te 0.202 0.798 0.485
6 Te 0.299 0.299 0.900
7 Te 0.701 0.701 0.900
8 Te 0.798 0.202 0.485

Calculated total energy, eV/cell: -34.609
Calculated volume, Å³/cell: 234.9
Space-group type: Cmm2
Crystal system: orthorhombic

***

(17)
Below is a relaxed ReF5 crystal, with properties calculated at the PBE-GGA level.

Unit cell a=5.461 b=5.461 c=6.217 alpha=90.00 beta=90.00 gamma=120.00
Atoms (fractional coordinates):
1 Re 0.333 0.667 0.250
2 Re 0.667 0.333 0.750
3 F 0.142 0.283 0.250
4 F 0.142 0.858 0.250
5 F 0.283 0.142 0.750
6 F 0.333 0.667 0.560
7 F 0.333 0.667 0.940
8 F 0.667 0.333 0.060
9 F 0.667 0.333 0.440
10 F 0.717 0.858 0.250
11 F 0.858 0.142 0.750
12 F 0.858 0.717 0.750

Calculated total energy, eV/cell: -65.663
E above lowest polymorph, meV per atom: 63
Calculated volume, Å³/cell: 160.5
Space-group type: P6_3/mmc
Crystal system: hexagonal

***

(18)
Below is a relaxed LaCdGeAu2 crystal, with properties calculated at the PBE-GGA level.

Unit cell a=6.971 b=6.971 c=6.971 alpha=144.18 beta=144.18 gamma=51.56
Atoms (fractional coordinates):
1 La 0.000 0.000 0.000
2 Cd 0.750 0.250 0.500
3 Ge 0.250 0.750 0.500
4 Au 0.392 0.392 0.000
5 Au 0.608 0.608 0.000

Calculated total energy, eV/cell: -19.541
Calculated volume, Å³/cell: 115.4
Space-group type: I-4m2
Crystal system: tetragonal

***

(19)
Below is a relaxed LuHfCoSb crystal, with properties calculated at the PBE-GGA level.

Unit cell a=4.779 b=4.779 c=4.779 alpha=60.00 beta=60.00 gamma=60.00
Atoms (fractional coordinates):
1 Lu 0.000 0.000 0.000
2 Hf 0.250 0.250 0.250
3 Co 0.750 0.750 0.750
4 Sb 0.500 0.500 0.500

Calculated total energy, eV/cell: -25.026
E above lowest polymorph, meV per atom: 0
Calculated volume, Å³/cell: 77.2
Space-group type: F-43m
Crystal system: cubic

***

(20)
Below is a relaxed Ba3LiIr2O9 crystal, with properties calculated at the PBE-GGA level.

Unit cell a=5.774 b=5.774 c=14.188 alpha=90.00 beta=90.00 gamma=120.00
Atoms (fractional coordinates):
1 Ba 0.000 0.000 0.250
2 Ba 0.000 0.000 0.750
3 Ba 0.333 0.667 0.085
4 Ba 0.333 0.667 0.415
5 Ba 0.667 0.333 0.585
6 Ba 0.667 0.333 0.915
7 Li 0.000 0.000 0.000
8 Li 0.000 0.000 0.500
9 Ir 0.333 0.667 0.658
10 Ir 0.333 0.667 0.842
11 Ir 0.667 0.333 0.158
12 Ir 0.667 0.333 0.342
13 O 0.020 0.510 0.750
14 O 0.173 0.347 0.583
15 O 0.173 0.347 0.917
16 O 0.173 0.827 0.583
17 O 0.173 0.827 0.917
18 O 0.347 0.173 0.083
19 O 0.347 0.173 0.417
20 O 0.490 0.510 0.750
21 O 0.490 0.980 0.750
22 O 0.510 0.020 0.250
23 O 0.510 0.490 0.250
24 O 0.653 0.827 0.583
25 O 0.653 0.827 0.917
26 O 0.827 0.173 0.083
27 O 0.827 0.173 0.417
28 O 0.827 0.653 0.083
29 O 0.827 0.653 0.417
30 O 0.980 0.490 0.250

Calculated total energy, eV/cell: -192.718
Calculated volume, Å³/cell: 409.7
Space-group type: P6_3/mmc
Crystal system: hexagonal